Entry 1:
InRuW3 | GGA-PBEsol | optimized geometry

Lattice parameters (Å, degrees): 4.662 4.662 4.662 90.00 90.00 90.00
Fractional positions:
W1 0.000 0.000 0.500
Ru1 0.000 0.000 0.000
W2 0.500 0.000 0.000
In1 0.500 0.500 0.500
W3 0.000 0.500 0.000

Output
Its space-group type is No. 221. As for the formation energy: 1.833 eV/atom. Its energy is -9.0825 eV per atom.

***

Entry 2:
InRuW2 | GGA-PBEsol | optimized geometry

Lattice parameters (Å, degrees): 2.846 4.916 4.924 101.33 90.00 106.83
Fractional positions:
Ru1 0.737 0.473 0.230
In1 0.494 0.988 0.492
W1 0.009 0.019 0.002
W2 0.260 0.520 0.776

Output
Its space-group type is No. 8. As for the formation energy: 0.398 eV/atom. Its energy is -9.7945 eV per atom.

***

Entry 3:
InRu2W | GGA-PBEsol | optimized geometry

Lattice parameters (Å, degrees): 2.954 3.315 6.285 90.00 90.00 90.00
Fractional positions:
Ru1 0.000 0.000 0.767
In1 0.500 0.500 0.500
W1 0.500 0.500 0.000
Ru2 0.000 0.000 0.233

Output
Its space-group type is No. 47. As for the formation energy: 0.057 eV/atom. The energy above the most stable polymorph in this dataset comes out at 0.000 eV/f.u. Its energy is -9.2268 eV per atom.

***

Entry 4:
InRu2W | GGA-PBEsol | optimized geometry

Lattice parameters (Å, degrees): 2.791 5.157 5.157 113.46 103.29 103.29
Fractional positions:
Ru1 0.000 0.000 0.500
Ru2 0.000 0.500 0.000
In1 0.500 0.000 0.000
W1 0.500 0.500 0.500

Output
Its space-group type is No. 12. As for the formation energy: 0.423 eV/atom. The energy above the most stable polymorph in this dataset comes out at 1.462 eV/f.u. Its energy is -8.8612 eV per atom.

***

Entry 5:
InRuW | GGA-PBEsol | optimized geometry

Lattice parameters (Å, degrees): 2.945 2.945 6.021 104.16 104.16 90.00
Fractional positions:
W1 0.315 0.315 0.630
Ru1 0.680 0.680 0.360
In1 0.005 0.005 0.009

Output
Its space-group type is No. 107. As for the formation energy: 0.150 eV/atom. Its energy is -8.8372 eV per atom.

***

Entry 6:
YIn2RuW | GGA-PBEsol | optimized geometry

Lattice parameters (Å, degrees): 4.638 5.141 5.141 90.00 90.00 90.00
Fractional positions:
Ru1 0.500 0.000 0.000
In1 0.000 0.500 0.000
W1 0.000 0.000 0.000
In2 0.000 0.000 0.500
Y1 0.500 0.500 0.500

Output
Its space-group type is No. 123. As for the formation energy: 0.729 eV/atom. Its energy is -6.6242 eV per atom.

***

Entry 7:
YInRu2 | GGA-PBEsol | optimized geometry

Lattice parameters (Å, degrees): 2.976 2.976 8.126 90.00 90.00 90.00
Fractional positions:
Ru1 0.000 0.000 0.028
Ru2 0.500 0.500 0.212
In1 0.500 0.500 0.789
Y1 0.000 0.000 0.471

Output
Its space-group type is No. 99. As for the formation energy: -0.041 eV/atom. Its energy is -7.5785 eV per atom.

***

Entry 8:
Y2InRu | GGA-PBEsol | optimized geometry

Lattice parameters (Å, degrees): 3.442 3.442 7.551 90.00 90.00 90.00
Fractional positions:
Y1 0.000 0.000 0.714
Y2 0.000 0.000 0.286
In1 0.500 0.500 0.000
Ru1 0.500 0.500 0.500

Output
Its space-group type is No. 123. As for the formation energy: -0.459 eV/atom. Its energy is -7.1593 eV per atom.